{"formula": "Ce6Bi5I", "functional": "PBE", "state": "relaxed", "raw_formation_energy_kcal_per_mol_atoms": -18.7, "crystal_system": "monoclinic", "dos_at_fermi_per_ev_atom": 3.54, "cell": [[-2.4885, 7.3513, 1.7192], [-2.9500, -3.7940, -6.3319], [-3.7046, -4.0412, 5.8066]], "species": ["Bi", "Bi", "Bi", "Ce", "Bi", "Ce", "Ce", "Ce", "Ce", "I", "Bi", "Ce"], "frac_coords": [[0.5000, 0.5000, 0.5000], [0.1638, 0.8362, 0.5000], [0.6675, 0.3325, 0.0000], [0.0851, 0.4237, 0.2543], [0.8362, 0.1638, 0.5000], [0.9149, 0.5763, 0.7457], [0.4237, 0.0851, 0.2543], [0.7450, 0.7450, 0.2515], [0.2550, 0.2550, 0.7485], [0.0000, 0.0000, 0.0000], [0.3325, 0.6675, 0.0000], [0.5763, 0.9149, 0.7457]]}